First-principles (PBE) data for crystalline V6Ga2Ge at its relaxed geometry, as listed in Alexandria via LeMat-Bulk.

Properties
The formation energy comes out at -0.1456 eV/atom. The final energy comes out at -7.410 eV/atom.

Unit cell a=2.625 b=6.628 c=7.333 alpha=101.68 beta=92.02 gamma=94.49
Positions (direct):
V 0.062 0.159 0.273
V 0.100 0.504 0.827
V 0.274 0.841 0.396
V 0.726 0.159 0.604
V 0.900 0.496 0.173
V 0.938 0.841 0.727
Ga 0.446 0.186 0.941
Ga 0.554 0.814 0.059
Ge 0.500 0.500 0.500